## CeDySe2N (PBE)

Data for a relaxed CeDySe2N crystal.

Output
DFT total energy, hartree per atom: -0.253
Uncorrected formation energy, eV per atom: -1.71
SG: No. 129

Cell lengths 4.0060, 4.0060, 14.5824 Å; angles 90.00, 90.00, 90.00 degrees
Positions (direct):
Ce 0.5000 0.0000 0.5773
N 0.5000 0.5000 0.5000
Dy 0.5000 0.0000 0.1261
Se 0.5000 0.0000 0.3071
Se 0.0000 0.5000 0.0888
Dy 0.0000 0.5000 0.8739
N 0.0000 0.0000 0.5000
Se 0.5000 0.0000 0.9112
Se 0.0000 0.5000 0.6929
Ce 0.0000 0.5000 0.4227

=====

## BaSr2CdBi (PBE)

Data for a relaxed BaSr2CdBi crystal.

Output
DFT total energy, hartree per atom: -0.054
DFT formation energy, eV/atom: 0.553
SG: No. 123

Cell lengths 7.1161, 7.1161, 6.2681 Å; angles 90.00, 90.00, 90.00 degrees
Last column: magnetic moment on the atom in μB.
Positions (direct):
Cd 0.5000 0.5000 0.5000  0.00
Bi 0.0000 0.0000 0.5000  0.00
Sr 0.5000 0.0000 0.0000  0.11
Ba 0.0000 0.0000 0.0000  0.22
Sr 0.0000 0.5000 0.0000  0.11

=====

## TmCdPt (PBE)

Data for a relaxed TmCdPt crystal.

Output
DFT total energy, hartree per atom: -0.165
DFT formation energy, eV/atom: -0.693
SG: No. 84

Cell lengths 4.3735, 7.9894, 7.9894 Å; angles 90.00, 90.00, 90.00 degrees
Positions (direct):
Cd 0.0000 0.8500 0.8739
Tm 0.0000 0.5721 0.2066
Pt 0.0000 0.1127 0.6302
Pt 0.0000 0.8873 0.3698
Tm 0.5000 0.7934 0.5721
Tm 0.0000 0.4279 0.7934
Pt 0.5000 0.6302 0.8873
Cd 0.5000 0.1261 0.8500
Cd 0.5000 0.8739 0.1500
Tm 0.5000 0.2066 0.4279
Pt 0.5000 0.3698 0.1127
Cd 0.0000 0.1500 0.1261

=====

Number 1 is which compound?
CeDySe2N

=====

What is the formula in the first record?
CeDySe2N

=====

Which of these has the highest DFT total energy?
BaSr2CdBi

=====

Among the records above, which one has the highest DFT total energy?
BaSr2CdBi